# KHf3Ir, PBEsol geometry, DFT SCAN
data_KHf3Ir
_cell_length_a 4.601
_cell_length_b 4.601
_cell_length_c 4.601
_cell_angle_alpha 90.00
_cell_angle_beta 90.00
_cell_angle_gamma 90.00
_symmetry_space_group_name_H-M 'P 1'
_symmetry_Int_Tables_number 1
_symmetry_space_group_name_Hall 'P 1'
loop_
_atom_site_label
_atom_site_type_symbol
_atom_site_fract_x
_atom_site_fract_y
_atom_site_fract_z
K1 K 0.000 0.000 0.000
Hf1 Hf 0.000 0.000 0.500
Hf2 Hf 0.000 0.500 0.000
Hf3 Hf 0.500 0.000 0.000
Ir1 Ir 0.500 0.500 0.500
# **Density of states at the Fermi level**: 5.3 states/eV per cell
# **Electronic total energy**: -51.26 eV/atom
# **SG**: Pm-3m
# **Calculated formation energy**: 2.23 eV/atom

---

# K2HfIrRu, PBEsol geometry, DFT SCAN
data_K2HfIrRu
_cell_length_a 6.324
_cell_length_b 6.324
_cell_length_c 4.471
_cell_angle_alpha 90.00
_cell_angle_beta 90.00
_cell_angle_gamma 90.00
_symmetry_space_group_name_H-M 'P 1'
_symmetry_Int_Tables_number 1
_symmetry_space_group_name_Hall 'P 1'
loop_
_atom_site_label
_atom_site_type_symbol
_atom_site_fract_x
_atom_site_fract_y
_atom_site_fract_z
K1 K 0.000 0.500 0.000
K2 K 0.500 0.000 0.000
Hf1 Hf 0.000 0.000 0.000
Ir1 Ir 0.500 0.500 0.500
Ru1 Ru 0.000 0.000 0.500
# **Density of states at the Fermi level**: 3.6 states/eV per cell
# **Electronic total energy**: -35.13 eV/atom
# **SG**: P4/mmm
# **Calculated formation energy**: 1.93 eV/atom

---

# LaHf3Ir, PBEsol geometry, DFT SCAN
data_LaHf3Ir
_cell_length_a 5.048
_cell_length_b 5.048
_cell_length_c 5.048
_cell_angle_alpha 90.00
_cell_angle_beta 90.00
_cell_angle_gamma 90.00
_symmetry_space_group_name_H-M 'P 1'
_symmetry_Int_Tables_number 1
_symmetry_space_group_name_Hall 'P 1'
loop_
_atom_site_label
_atom_site_type_symbol
_atom_site_fract_x
_atom_site_fract_y
_atom_site_fract_z
La1 La 0.000 0.000 0.000
Hf1 Hf 0.000 0.500 0.500
Hf2 Hf 0.500 0.000 0.500
Hf3 Hf 0.500 0.500 0.000
Ir1 Ir 0.500 0.500 0.500
# **Density of states at the Fermi level**: 5.3 states/eV per cell
# **Electronic total energy**: -60.59 eV/atom
# **SG**: Pm-3m
# **Calculated formation energy**: -0.15 eV/atom

---

# LaHfIr2Pt, PBEsol geometry, DFT SCAN
data_LaHfIr2Pt
_cell_length_a 4.724
_cell_length_b 4.724
_cell_length_c 5.068
_cell_angle_alpha 90.00
_cell_angle_beta 90.00
_cell_angle_gamma 90.00
_symmetry_space_group_name_H-M 'P 1'
_symmetry_Int_Tables_number 1
_symmetry_space_group_name_Hall 'P 1'
loop_
_atom_site_label
_atom_site_type_symbol
_atom_site_fract_x
_atom_site_fract_y
_atom_site_fract_z
La1 La 0.000 0.000 0.000
Hf1 Hf 0.000 0.000 0.500
Ir1 Ir 0.000 0.500 0.000
Ir2 Ir 0.500 0.000 0.000
Pt1 Pt 0.500 0.500 0.500
# **Density of states at the Fermi level**: 4.2 states/eV per cell
# **Electronic total energy**: -61.59 eV/atom
# **SG**: P4/mmm
# **Calculated formation energy**: 2.05 eV/atom

---

Please write out number 3 again, unchanged.
# LaHf3Ir, PBEsol geometry, DFT SCAN
data_LaHf3Ir
_cell_length_a 5.048
_cell_length_b 5.048
_cell_length_c 5.048
_cell_angle_alpha 90.00
_cell_angle_beta 90.00
_cell_angle_gamma 90.00
_symmetry_space_group_name_H-M 'P 1'
_symmetry_Int_Tables_number 1
_symmetry_space_group_name_Hall 'P 1'
loop_
_atom_site_label
_atom_site_type_symbol
_atom_site_fract_x
_atom_site_fract_y
_atom_site_fract_z
La1 La 0.000 0.000 0.000
Hf1 Hf 0.000 0.500 0.500
Hf2 Hf 0.500 0.000 0.500
Hf3 Hf 0.500 0.500 0.000
Ir1 Ir 0.500 0.500 0.500
# **Density of states at the Fermi level**: 5.3 states/eV per cell
# **Electronic total energy**: -60.59 eV/atom
# **SG**: Pm-3m
# **Calculated formation energy**: -0.15 eV/atom